A plane-wave DFT calculation with PBE was carried out for crystalline Rb2GaF6 at its relaxed geometry.

Geometry as POSCAR:
```
Rb2GaF6
1.0
-4.218 0.872 -4.443
-4.717 -3.958 -0.607
-5.739 1.774 1.487
F Rb Ga
6 2 1
Cartesian
-8.811 1.201 -2.442
-8.236 -2.024 -3.621
-9.092 -1.516 -0.284
-5.582 0.203 -3.279
-6.438 0.711 0.057
-5.863 -2.514 -1.121
-11.005 -0.985 -2.673
-3.668 -0.328 -0.891
0.000 0.000 0.000
```

## Properties
Its space group is No. 225. Its polymorph energy (0 for the lowest one) is 6 meV/atom.

---

A plane-wave DFT calculation with PBE was carried out for crystalline RbGaF6 at its relaxed geometry.

Geometry as POSCAR:
```
RbGaF6
1.0
5.135 0.007 0.007
-0.554 5.105 0.007
-0.554 -0.618 5.068
F Ga Rb
6 1 1
Cartesian
3.257 3.635 2.126
3.257 1.664 3.868
1.299 3.420 3.868
0.769 2.829 1.214
2.728 1.074 1.214
0.769 0.858 2.956
2.013 2.247 2.541
0.000 0.000 0.000
```

## Properties
Its space group is No. 166.

---

A plane-wave DFT calculation with PBE was carried out for crystalline Rb3Ga2F8 at its relaxed geometry.

Geometry as POSCAR:
```
Rb3Ga2F8
1.0
-3.448 -4.741 -2.884
-0.077 -6.007 2.567
-6.714 -1.878 3.715
Rb F Ga
3 8 2
Cartesian
0.000 0.000 0.000
-3.218 -2.954 1.304
-7.020 -9.672 2.095
-2.481 -7.125 -0.121
-4.626 -5.426 -0.348
-5.574 -4.210 2.469
-2.948 -6.056 2.365
-7.758 -5.501 3.520
-7.290 -6.569 1.034
-4.664 -8.416 0.930
-5.613 -7.199 3.747
-6.281 -5.956 2.501
-3.958 -6.670 0.898
```

## Properties
Its space group is No. 166.

---

A plane-wave DFT calculation with PBE was carried out for crystalline Rb2GaF7 at its relaxed geometry.

Geometry as POSCAR:
```
Rb2GaF7
1.0
-5.674 1.327 -0.773
-0.389 -4.102 -4.192
-4.226 -4.600 0.772
Rb F Ga
2 7 1
Cartesian
-3.823 -5.045 -2.951
-6.466 -2.330 -1.242
-4.646 -2.127 -3.805
-1.416 -0.648 -1.160
-4.439 0.059 -1.571
-1.623 -2.834 -3.393
-3.031 -1.387 -2.482
-3.754 -3.330 -0.515
-6.535 -4.045 -3.678
0.000 0.000 0.000
```

## Properties
Its space group is No. 139.

---

A plane-wave DFT calculation with PBE was carried out for crystalline RbGaF at its relaxed geometry.

Geometry as POSCAR:
```
RbGaF
1.0
3.407 -0.907 -0.489
0.808 3.456 -0.784
-0.472 -1.068 11.606
Rb F Ga
2 2 2
Cartesian
1.594 1.145 8.985
1.338 2.235 5.213
3.095 -0.845 10.181
2.871 0.273 6.567
2.075 -0.467 2.433
0.543 1.493 1.066
```

## Properties
Its space group is No. 8.

---

A plane-wave DFT calculation with PBE was carried out for crystalline Rb2GaReF6 at its relaxed geometry.

Geometry as POSCAR:
```
Rb2GaReF6
1.0
6.420 0.000 0.000
0.000 6.420 0.000
3.210 3.210 4.553
F Rb Re Ga
6 2 1 1
Cartesian
1.453 1.453 0.000
3.210 3.210 2.458
4.967 4.967 0.000
1.453 4.967 0.000
4.967 1.453 0.000
6.420 6.420 2.095
6.420 3.210 2.277
3.210 6.420 2.277
0.000 0.000 0.000
3.210 3.210 0.000
```

## Properties
Its space group is No. 139.

---

A plane-wave DFT calculation with PBE was carried out for crystalline Rb2GaSF6 at its relaxed geometry.

Geometry as POSCAR:
```
Rb2GaSF6
1.0
5.891 0.000 0.000
0.000 5.891 0.000
2.946 2.946 5.132
F Ga S Rb
6 1 1 2
Cartesian
1.384 4.507 0.000
4.507 4.507 0.000
4.507 1.384 0.000
5.891 5.891 1.885
1.384 1.384 0.000
2.946 2.946 3.248
0.000 0.000 0.000
2.946 2.946 0.000
5.891 2.946 2.566
2.946 5.891 2.566
```

## Properties
Its space group is No. 139.

---

A plane-wave DFT calculation with PBE was carried out for crystalline RbGaSnF6 at its relaxed geometry.

Geometry as POSCAR:
```
RbGaSnF6
1.0
5.800 0.001 0.001
2.902 5.022 -0.002
0.000 0.000 5.537
F Sn Ga Rb
6 1 1 1
Cartesian
4.442 2.232 3.928
3.328 3.219 1.810
4.026 0.531 1.813
1.648 2.732 3.927
2.611 0.063 3.929
1.350 1.271 1.811
5.802 3.349 2.427
2.901 1.675 2.833
5.801 0.002 5.205
```

## Properties
Its space group is No. 143.

---

| no. | DOS(E_F) (states/eV/cell) | E_form (uncorrected) (meV/atom) |
| --- | --- | --- |
| 1 | 9.7 | -2442.8 |
| 2 | 9.1 | -1909.2 |
| 3 | 1.7 | -2595.8 |
| 4 | 0.0 | -2132.6 |
| 5 | 0.2 | -1607.8 |
| 6 | 6.7 | -2050.7 |
| 7 | 2.6 | -2100.6 |
| 8 | 0.0 | -2592.1 |